# 1
A relaxed structure of KTaCl6. Source: Alexandria via LeMat-Bulk, functional GGA-PBE.

Geometry as POSCAR:
```
KTaCl6
1.0
-6.850 -1.580 0.166
-1.794 -0.493 6.782
-2.574 10.709 0.208
Ta Cl K
2 12 2
Direct
0.000 0.500 0.000
0.500 0.000 0.500
0.809 0.841 0.002
0.734 0.410 0.093
0.129 0.533 0.194
0.590 0.266 0.407
0.191 0.159 0.998
0.266 0.590 0.907
0.841 0.809 0.502
0.410 0.734 0.593
0.533 0.129 0.694
0.159 0.191 0.498
0.871 0.467 0.806
0.467 0.871 0.306
0.984 0.016 0.250
0.016 0.984 0.750
```

Calculated values
raw formation energy	-1542	meV/atom
polymorph energy (0 for the lowest one)	0	meV/atom
calculated volume	260.9	Å³/f.u.
total moment	0.00	μB/f.u.
SG	C2/c, No. 15



# 2
A relaxed structure of CsZnIn2Rh. Source: Alexandria via LeMat-Bulk, functional GGA-PBE.

Geometry as POSCAR:
```
CsZnIn2Rh
1.0
5.239 0.000 0.000
0.000 5.239 0.000
0.000 0.000 5.185
Cs Zn In Rh
1 1 2 1
Direct
0.500 0.500 0.500
0.000 0.000 0.500
0.000 0.500 0.000
0.500 0.000 0.000
0.000 0.000 0.000
```

Calculated values
formation enthalpy at 0 K	-0.1815	eV/atom
calculated volume	142.3	Å³/f.u.
total moment	0.00	μB/f.u.
SG	P4/mmm, No. 123



# 3
A relaxed structure of LaYBSe2. Source: Alexandria via LeMat-Bulk, functional GGA-PBE.

Geometry as POSCAR:
```
LaYBSe2
1.0
-4.291 3.246 -1.466
-4.352 -4.996 1.679
-0.274 1.987 5.203
Se B Y La
2 1 1 1
Direct
0.500 0.000 0.000
0.000 0.000 0.500
0.500 0.500 0.500
0.000 0.500 0.000
0.000 0.000 0.000
```

Calculated values
raw formation energy	941	meV/atom
calculated volume	212.6	Å³/f.u.
total moment	1.79	μB/f.u.
SG	P4/mmm, No. 123



# 4
A relaxed structure of YGePb2. Source: Alexandria via LeMat-Bulk, functional GGA-PBE.

Geometry as POSCAR:
```
YGePb2
1.0
3.604 0.000 0.000
1.802 3.121 0.000
1.802 1.040 10.761
Pb Y Ge
2 1 1
Direct
0.098 0.098 0.706
0.902 0.902 0.294
0.000 0.000 0.000
0.500 0.500 0.500
```

Calculated values
formation enthalpy at 0 K	0.2144	eV/atom
calculated volume	121.1	Å³/f.u.
total moment	0.00	μB/f.u.
SG	R-3m, No. 166



# 5
A relaxed structure of NpAl2Tc. Source: Alexandria via LeMat-Bulk, functional GGA-PBE.

Geometry as POSCAR:
```
NpAl2Tc
1.0
4.626 0.000 0.000
2.313 4.006 0.000
2.313 1.335 3.777
Al Np Tc
2 1 1
Direct
0.750 0.750 0.750
0.250 0.250 0.250
0.000 0.000 0.000
0.500 0.500 0.500
```

Calculated values
formation enthalpy at 0 K	0.0579	eV/atom
calculated volume	70.0	Å³/f.u.
total moment	2.47	μB/f.u.
SG	Fm-3m, No. 225



# 6
A relaxed structure of Tm8Sn2C. Source: Alexandria via LeMat-Bulk, functional GGA-PBE.

Geometry as POSCAR:
```
Tm8Sn2C
1.0
-5.167 0.695 1.066
-0.467 -6.072 1.697
4.711 4.785 6.432
C Tm Sn
1 8 2
Direct
0.500 0.000 0.000
0.992 0.233 0.984
0.212 0.277 0.425
0.417 0.607 0.834
0.008 0.767 0.016
0.788 0.723 0.575
0.583 0.393 0.166
0.625 0.941 0.249
0.375 0.059 0.751
0.178 0.725 0.357
0.822 0.275 0.643
```

Calculated values
formation enthalpy at 0 K	-0.1833	eV/atom
calculated volume	279.5	Å³/f.u.
total moment	0.00	μB/f.u.
SG	C2/m, No. 12



# 7
A relaxed structure of B2IrOs. Source: Alexandria via LeMat-Bulk, functional GGA-PBE.

Geometry as POSCAR:
```
B2IrOs
1.0
-1.989 0.592 2.123
-2.463 -1.641 0.226
1.187 -3.878 4.270
B Os Ir
2 1 1
Direct
0.085 0.085 0.744
0.247 0.247 0.260
0.500 0.500 0.499
0.667 0.667 0.998
```

Calculated values
formation enthalpy at 0 K	0.0487	eV/atom
polymorph energy (0 for the lowest one)	0	meV/atom
calculated volume	43.0	Å³/f.u.
total moment	0.00	μB/f.u.
SG	R3m, No. 160



# 8
A relaxed structure of ThSi4Ni2Os. Source: Alexandria via LeMat-Bulk, functional GGA-PBE.

Geometry as POSCAR:
```
ThSi4Ni2Os
1.0
3.996 0.000 0.000
1.998 3.461 0.000
1.998 1.154 8.780
Os Si Ni Th
1 4 2 1
Direct
0.500 0.500 0.500
0.405 0.405 0.785
0.874 0.874 0.378
0.126 0.126 0.622
0.595 0.595 0.215
0.765 0.765 0.706
0.235 0.235 0.294
0.000 0.000 0.000
```

Calculated values
raw formation energy	-425	meV/atom
calculated volume	121.4	Å³/f.u.
total moment	0.00	μB/f.u.
SG	R-3m, No. 166



# 9
A relaxed structure of MgTl4Br. Source: Alexandria via LeMat-Bulk, functional GGA-PBE.

Geometry as POSCAR:
```
MgTl4Br
1.0
5.513 1.485 3.115
0.568 5.709 3.064
0.109 0.206 6.500
Br Mg Tl
1 1 4
Direct
0.750 0.750 0.750
0.000 0.000 0.000
0.375 0.375 0.875
0.875 0.375 0.375
0.375 0.875 0.375
0.375 0.375 0.375
```

Calculated values
raw formation energy	1	meV/atom
calculated volume	194.6	Å³/f.u.
total moment	0.00	μB/f.u.
SG	F-43m, No. 216



# 10
A relaxed structure of LaMg3Te. Source: Alexandria via LeMat-Bulk, functional GGA-PBE.

Geometry as POSCAR:
```
LaMg3Te
1.0
6.153 0.000 0.000
0.000 6.153 0.000
0.000 0.000 6.153
Mg La Te
3 1 1
Direct
0.000 0.000 0.500
0.500 0.000 0.000
0.000 0.500 0.000
0.000 0.000 0.000
0.500 0.500 0.500
```

Calculated values
raw formation energy	974	meV/atom
polymorph energy (0 for the lowest one)	742	meV/atom
calculated volume	232.9	Å³/f.u.
total moment	0.00	μB/f.u.
SG	Pm-3m, No. 221



# 11
A relaxed structure of PmIrPd. Source: Alexandria via LeMat-Bulk, functional GGA-PBE.

Geometry as POSCAR:
```
PmIrPd
1.0
5.045 -0.722 -0.236
-1.299 4.931 -0.036
-1.745 -2.136 5.101
Pm Ir Pd
2 2 2
Direct
0.608 0.893 0.250
0.392 0.107 0.750
0.035 0.464 0.750
0.965 0.536 0.250
0.500 0.500 0.500
0.000 0.000 0.000
```

Calculated values
formation enthalpy at 0 K	-0.4369	eV/atom
polymorph energy (0 for the lowest one)	253	meV/atom
calculated volume	59.5	Å³/f.u.
total moment	0.00	μB/f.u.
SG	C2/c, No. 15



# 12
A relaxed structure of LiInHg2. Source: Alexandria via LeMat-Bulk, functional GGA-PBE.

Geometry as POSCAR:
```
LiInHg2
1.0
-0.578 4.369 -0.920
0.331 -0.666 -3.368
-5.702 -1.331 -2.737
Hg Li In
2 1 1
Direct
0.000 0.165 0.958
0.500 0.107 0.273
0.500 0.788 0.793
0.000 0.440 0.476
```

Calculated values
formation enthalpy at 0 K	-0.1488	eV/atom
calculated volume	93.3	Å³/f.u.
total moment	0.00	μB/f.u.
SG	Pm, No. 6